[1]
Compound: NdHgBiSb
Source: Alexandria via LeMat-Bulk
Functional: GGA-PBE
Structure: relaxed

## Properties
DOS(E_F)	2.515	states/eV per cell
electronic total energy	-3.61	eV/atom
space-group type	F-43m (216)
crystal system	cubic
formation energy without anion corrections	-0.343	eV/atom

Cell and atoms, written as extended XYZ:
```
4
Lattice="0.000 3.872 3.872 3.872 0.000 3.872 3.872 3.872 0.000" Properties=species:S:1:pos:R:3 pbc="T T T"
Nd 0.000 0.000 0.000
Hg 1.936 1.936 1.936
Bi 3.872 3.872 3.872
Sb 5.808 5.808 5.808
```


[2]
Compound: Pr4Dy2Sc
Source: Alexandria via LeMat-Bulk
Functional: GGA-PBE
Structure: relaxed

## Properties
DOS(E_F)	20.080	states/eV per cell
electronic total energy	-4.92	eV/atom
space-group type	C2/c (15)
E_form	0.034	eV per atom
crystal system	monoclinic

Cell and atoms, written as extended XYZ:
```
14
Lattice="3.111 -12.593 0.000 3.111 12.593 0.000 -2.040 0.000 5.893" Properties=species:S:1:pos:R:3 pbc="T T T"
Pr 1.581 11.685 4.420
Pr 2.601 6.349 1.473
Pr 1.581 4.471 4.420
Pr 1.581 0.954 4.420
Pr 2.601 -0.954 1.473
Pr 2.601 -4.471 1.473
Pr 1.581 -6.349 4.420
Pr 2.601 -11.685 1.473
Dy 1.581 8.150 4.420
Dy 2.601 2.707 1.473
Dy 1.581 -2.707 4.420
Dy 2.601 -8.150 1.473
Sc 2.601 9.885 1.473
Sc 1.581 -9.885 4.420
```


[3]
Compound: DyYHo5
Source: Alexandria via LeMat-Bulk
Functional: GGA-PBE
Structure: relaxed

## Properties
DOS(E_F)	7.943	states/eV per cell
electronic total energy	-3.72	eV/atom
space-group type	Immm (71)
E_form	1.131	eV per atom
crystal system	orthorhombic

Cell and atoms, written as extended XYZ:
```
7
Lattice="-2.887 4.297 5.960 2.887 -4.297 5.960 2.887 4.297 -5.960" Properties=species:S:1:pos:R:3 pbc="T T T"
Dy 0.000 0.000 0.000
Y 0.000 0.000 5.960
Ho 2.887 0.000 0.000
Ho 0.000 0.000 2.911
Ho 0.000 2.769 0.000
Ho 0.000 5.825 0.000
Ho 0.000 0.000 9.009
```


[4]
Compound: Re2HgSe
Source: Alexandria via LeMat-Bulk
Functional: GGA-PBE
Structure: relaxed

## Properties
DOS(E_F)	3.646	states/eV per cell
electronic total energy	-6.34	eV/atom
space-group type	Imm2 (44)
crystal system	orthorhombic
formation energy without anion corrections	0.831	eV/atom

Cell and atoms, written as extended XYZ:
```
4
Lattice="-1.457 2.394 5.140 1.457 -2.394 5.140 1.457 2.394 -5.140" Properties=species:S:1:pos:R:3 pbc="T T T"
Re 0.000 0.000 0.000
Re 0.000 2.394 3.035
Hg 0.000 0.000 5.268
Se 1.457 0.000 2.290
```